! PBE PuFeTc2, optimized geometry; values from VASP
&SYSTEM
  ibrav = 0, nat = 4, ntyp = 3
/
ATOMIC_SPECIES
Pu 244.00 Pu.upf
Fe 55.84 Fe.upf
Tc 98.00 Tc.upf
ATOMIC_POSITIONS crystal
Pu 0.000 0.000 0.000
Fe 0.500 0.500 0.000
Tc 0.000 0.500 0.500
Tc 0.500 0.000 0.500
CELL_PARAMETERS angstrom
4.449 0.000 0.000
0.000 4.449 0.000
0.000 0.000 3.222
! SG	No. 123
! energy above the most stable polymorph in this dataset	0.034	eV per atom
! DFT formation energy	0.19	eV/atom
! VASP energy	-10.70	eV per atom

=====

! PBE PuFeTc2, optimized geometry; values from VASP
&SYSTEM
  ibrav = 0, nat = 4, ntyp = 3
/
ATOMIC_SPECIES
Pu 244.00 Pu.upf
Fe 55.84 Fe.upf
Tc 98.00 Tc.upf
ATOMIC_POSITIONS crystal
Pu 0.000 0.000 0.000
Fe 0.000 0.000 0.500
Tc 0.500 0.500 0.293
Tc 0.500 0.500 0.707
CELL_PARAMETERS angstrom
2.690 0.000 0.000
0.000 2.690 0.000
0.000 0.000 8.456
! SG	No. 123
! energy above the most stable polymorph in this dataset	0.104	eV per atom
! DFT formation energy	0.26	eV/atom
! VASP energy	-10.62	eV per atom

=====

! PBE PuFe4Tc, optimized geometry; values from VASP
&SYSTEM
  ibrav = 0, nat = 6, ntyp = 3
/
ATOMIC_SPECIES
Pu 244.00 Pu.upf
Fe 55.84 Fe.upf
Tc 98.00 Tc.upf
ATOMIC_POSITIONS crystal
Pu 0.000 0.000 0.000
Fe 0.375 0.375 0.375
Fe 0.375 0.375 0.875
Fe 0.375 0.875 0.375
Fe 0.875 0.375 0.375
Tc 0.750 0.750 0.750
CELL_PARAMETERS angstrom
0.000 3.433 3.433
3.433 0.000 3.433
3.433 3.433 0.000
! SG	No. 216
! DFT formation energy	0.25	eV/atom
! VASP energy	-9.51	eV per atom

=====

! PBE PuTiFeTc, optimized geometry; values from VASP
&SYSTEM
  ibrav = 0, nat = 4, ntyp = 4
/
ATOMIC_SPECIES
Pu 244.00 Pu.upf
Ti 47.87 Ti.upf
Fe 55.84 Fe.upf
Tc 98.00 Tc.upf
ATOMIC_POSITIONS crystal
Pu 0.000 0.000 0.000
Ti 0.500 0.500 0.500
Fe 0.250 0.250 0.250
Tc 0.750 0.750 0.750
CELL_PARAMETERS angstrom
0.000 3.189 3.189
3.189 0.000 3.189
3.189 3.189 0.000
! SG	No. 216
! DFT formation energy	-0.11	eV/atom
! VASP energy	-10.37	eV per atom

=====

! PBE PuVFeTc, optimized geometry; values from VASP
&SYSTEM
  ibrav = 0, nat = 4, ntyp = 4
/
ATOMIC_SPECIES
Pu 244.00 Pu.upf
V 50.94 V.upf
Fe 55.84 Fe.upf
Tc 98.00 Tc.upf
ATOMIC_POSITIONS crystal
Pu 0.000 0.000 0.000
V 0.500 0.500 0.500
Fe 0.750 0.750 0.750
Tc 0.250 0.250 0.250
CELL_PARAMETERS angstrom
0.000 3.150 3.150
3.150 0.000 3.150
3.150 3.150 0.000
! SG	No. 216
! DFT formation energy	0.08	eV/atom
! VASP energy	-10.48	eV per atom

=====

! PBE YPuFeTc, optimized geometry; values from VASP
&SYSTEM
  ibrav = 0, nat = 4, ntyp = 4
/
ATOMIC_SPECIES
Y 88.91 Y.upf
Pu 244.00 Pu.upf
Fe 55.84 Fe.upf
Tc 98.00 Tc.upf
ATOMIC_POSITIONS crystal
Y 0.000 0.000 0.000
Pu 0.500 0.500 0.500
Fe 0.750 0.750 0.750
Tc 0.250 0.250 0.250
CELL_PARAMETERS angstrom
0.000 3.381 3.381
3.381 0.000 3.381
3.381 3.381 0.000
! SG	No. 216
! DFT formation energy	0.10	eV/atom
! VASP energy	-9.81	eV per atom

=====

! PBE PuZnFeTc, optimized geometry; values from VASP
&SYSTEM
  ibrav = 0, nat = 4, ntyp = 4
/
ATOMIC_SPECIES
Pu 244.00 Pu.upf
Zn 65.41 Zn.upf
Fe 55.84 Fe.upf
Tc 98.00 Tc.upf
ATOMIC_POSITIONS crystal
Pu 0.000 0.000 0.000
Zn 0.500 0.500 0.500
Fe 0.750 0.750 0.750
Tc 0.250 0.250 0.250
CELL_PARAMETERS angstrom
0.000 3.156 3.156
3.156 0.000 3.156
3.156 3.156 0.000
! SG	No. 216
! DFT formation energy	0.04	eV/atom
! VASP energy	-8.57	eV per atom

=====

! PBE PuZrFeTc, optimized geometry; values from VASP
&SYSTEM
  ibrav = 0, nat = 4, ntyp = 4
/
ATOMIC_SPECIES
Pu 244.00 Pu.upf
Zr 91.22 Zr.upf
Fe 55.84 Fe.upf
Tc 98.00 Tc.upf
ATOMIC_POSITIONS crystal
Pu 0.000 0.000 0.000
Zr 0.500 0.500 0.500
Fe 0.750 0.750 0.750
Tc 0.250 0.250 0.250
CELL_PARAMETERS angstrom
0.000 3.299 3.299
3.299 0.000 3.299
3.299 3.299 0.000
! SG	No. 216
! DFT formation energy	-0.07	eV/atom
! VASP energy	-10.50	eV per atom

=====

! PBE Pu3ThFe8, optimized geometry; values from VASP
&SYSTEM
  ibrav = 0, nat = 12, ntyp = 3
/
ATOMIC_SPECIES
Pu 244.00 Pu.upf
Th 232.04 Th.upf
Fe 55.84 Fe.upf
ATOMIC_POSITIONS crystal
Pu 0.000 0.000 0.000
Pu 0.001 0.001 0.631
Pu 0.667 0.667 0.510
Th 0.667 0.667 0.141
Fe 0.002 0.500 0.816
Fe 0.164 0.164 0.322
Fe 0.164 0.673 0.322
Fe 0.333 0.333 0.067
Fe 0.334 0.334 0.562
Fe 0.500 0.002 0.816
Fe 0.500 0.500 0.816
Fe 0.673 0.164 0.322
CELL_PARAMETERS angstrom
4.316 -2.492 0.000
4.316 2.492 0.000
-0.025 0.000 8.548
! SG	No. 8
! DFT formation energy	0.00	eV/atom
! VASP energy	-9.84	eV per atom

=====

! PBE Pu3ThFe3, optimized geometry; values from VASP
&SYSTEM
  ibrav = 0, nat = 14, ntyp = 3
/
ATOMIC_SPECIES
Pu 244.00 Pu.upf
Th 232.04 Th.upf
Fe 55.84 Fe.upf
ATOMIC_POSITIONS crystal
Pu 0.000 0.250 0.500
Pu 0.000 0.750 0.500
Pu 0.250 0.500 0.000
Pu 0.500 0.000 0.250
Pu 0.500 0.000 0.750
Pu 0.750 0.500 0.000
Th 0.000 0.000 0.000
Th 0.500 0.500 0.500
Fe 0.000 0.500 0.250
Fe 0.000 0.500 0.750
Fe 0.250 0.000 0.500
Fe 0.500 0.250 0.000
Fe 0.500 0.750 0.000
Fe 0.750 0.000 0.500
CELL_PARAMETERS angstrom
6.833 0.000 0.000
0.000 6.833 0.000
0.000 0.000 6.833
! SG	No. 223
! DFT formation energy	0.61	eV/atom
! VASP energy	-10.22	eV per atom

=====

! PBE PuThFe, optimized geometry; values from VASP
&SYSTEM
  ibrav = 0, nat = 3, ntyp = 3
/
ATOMIC_SPECIES
Pu 244.00 Pu.upf
Th 232.04 Th.upf
Fe 55.84 Fe.upf
ATOMIC_POSITIONS crystal
Pu 0.000 0.000 0.000
Th 0.333 0.667 0.500
Fe 0.667 0.333 0.000
CELL_PARAMETERS angstrom
4.188 0.000 0.000
-2.094 3.627 0.000
0.000 0.000 4.498
! SG	No. 187
! energy above the most stable polymorph in this dataset	0.000	eV per atom
! DFT formation energy	0.09	eV/atom
! VASP energy	-9.98	eV per atom

=====

! PBE PuThFe, optimized geometry; values from VASP
&SYSTEM
  ibrav = 0, nat = 3, ntyp = 3
/
ATOMIC_SPECIES
Pu 244.00 Pu.upf
Th 232.04 Th.upf
Fe 55.84 Fe.upf
ATOMIC_POSITIONS crystal
Pu 0.000 0.000 0.000
Th 0.702 0.702 0.000
Fe 0.378 0.378 0.000
CELL_PARAMETERS angstrom
-1.770 1.770 5.266
1.770 -1.770 5.266
1.770 1.770 -5.266
! SG	No. 107
! energy above the most stable polymorph in this dataset	0.022	eV per atom
! DFT formation energy	0.12	eV/atom
! VASP energy	-9.96	eV per atom